1.
A relaxed CeSmBr crystal, computed with PBE-GGA.

Geometry as POSCAR:
```
CeSmBr
1.0
3.7015 0.0000 0.0000
-1.8508 3.2056 0.0000
0.0000 0.0000 7.7031
Sm Br Ce
1 1 1
Direct
0.6667 0.3333 0.3578 Sm
0.3333 0.6667 0.6594 Br
0.0000 0.0000 0.9829 Ce
```

Results
**DOS at the Fermi energy**: 2.262 states/eV/atom



2.
A relaxed CeSmBr crystal, computed with PBE-GGA.

Geometry as POSCAR:
```
CeSmBr
1.0
-0.7090 -2.7238 2.2817
-2.1840 -3.8611 -5.2878
6.9380 -1.0742 -2.0031
Ce Sm Br
2 2 2
Direct
0.1940 0.0768 0.3879 Ce
0.8060 0.9232 0.6121 Ce
0.1470 0.5975 0.2939 Sm
0.8530 0.4025 0.7061 Sm
0.5395 0.2622 0.0789 Br
0.4605 0.7378 0.9211 Br
```

Results
**DOS at the Fermi energy**: 1.648 states/eV/atom



Unit: meV per atom. Relative energies: 1 0; 2 64.



1.
A relaxed Ce2SnBr crystal, computed with PBE-GGA.

Geometry as POSCAR:
```
Ce2SnBr
1.0
-1.9791 -3.3227 -2.0058
1.8381 -1.8416 -3.4944
3.6592 -6.6850 2.7320
Ce Sn Br
2 1 1
Direct
0.0795 0.0795 0.7616 Ce
0.2547 0.2547 0.2358 Ce
0.6684 0.6684 0.9949 Sn
0.4975 0.4975 0.5076 Br
```

Results
**DOS at the Fermi energy**: 3.509 states/eV/atom



2.
A relaxed Ce2SnBr crystal, computed with PBE-GGA.

Geometry as POSCAR:
```
Ce2SnBr
1.0
4.5372 0.0000 0.0000
2.2686 3.9294 0.0000
2.2686 1.3098 6.7314
Ce Br Sn
2 1 1
Direct
0.2468 0.2468 0.2595 Ce
0.7532 0.7532 0.7405 Ce
0.5000 0.5000 0.5000 Br
0.0000 0.0000 0.0000 Sn
```

Results
**DOS at the Fermi energy**: 3.138 states/eV/atom



Unit: meV per atom. Relative energies: 1 101; 2 0.